No. 1
AlCr2Os2 | GGA-PBE | optimized geometry

For the energy above the most stable polymorph in this dataset, the calculation gives 0.67 eV/f.u. The value obtained for the total energy is -8.939 eV/atom. As for the formation energy: 150.8 meV per atom. As for the crystal system: tetragonal.

```
10
Lattice="7.221 0.000 0.000 0.000 7.221 0.000 0.000 0.000 2.745" Properties=species:S:1:pos:R:3 pbc="T T T"
Al 0.000 0.000 0.000
Al 3.611 3.611 0.000
Cr 1.161 2.449 1.372
Cr 2.449 6.060 1.372
Cr 4.772 1.161 1.372
Cr 6.060 4.772 1.372
Os 0.953 4.564 0.000
Os 2.657 0.953 0.000
Os 4.564 6.268 0.000
Os 6.268 2.657 0.000
```

---

No. 2
Al2CrOs | GGA-PBE | optimized geometry

For the energy above the most stable polymorph in this dataset, the calculation gives 0.32 eV/f.u. The value obtained for the total energy is -7.337 eV/atom. As for the formation energy: -252.5 meV per atom. As for the crystal system: tetragonal.

```
4
Lattice="3.023 0.000 0.000 0.000 3.023 0.000 0.000 0.000 5.906" Properties=species:S:1:pos:R:3 pbc="T T T"
Al 0.000 0.000 0.000
Al 1.512 1.512 1.634
Cr 0.000 0.000 2.962
Os 1.512 1.512 4.484
```

---

No. 3
AlCrOs | GGA-PBE | optimized geometry

For the energy above the most stable polymorph in this dataset, the calculation gives 1.05 eV/f.u. The value obtained for the total energy is -8.108 eV/atom. As for the formation energy: 90.2 meV per atom. As for the crystal system: monoclinic.

```
6
Lattice="4.192 -1.415 0.000 4.192 1.415 0.000 -3.580 0.000 7.193" Properties=species:S:1:pos:R:3 pbc="T T T"
Al -0.579 0.000 1.623
Al 5.384 0.000 5.571
Cr -0.734 0.000 6.679
Cr 5.538 0.000 0.515
Os -0.640 0.000 4.226
Os 5.444 0.000 2.968
```

---

Please write out number 1 again, unchanged.
AlCr2Os2 | GGA-PBE | optimized geometry

For the energy above the most stable polymorph in this dataset, the calculation gives 0.67 eV/f.u. The value obtained for the total energy is -8.939 eV/atom. As for the formation energy: 150.8 meV per atom. As for the crystal system: tetragonal.

```
10
Lattice="7.221 0.000 0.000 0.000 7.221 0.000 0.000 0.000 2.745" Properties=species:S:1:pos:R:3 pbc="T T T"
Al 0.000 0.000 0.000
Al 3.611 3.611 0.000
Cr 1.161 2.449 1.372
Cr 2.449 6.060 1.372
Cr 4.772 1.161 1.372
Cr 6.060 4.772 1.372
Os 0.953 4.564 0.000
Os 2.657 0.953 0.000
Os 4.564 6.268 0.000
Os 6.268 2.657 0.000
```

---

Please write out number 2 again, unchanged.
Al2CrOs | GGA-PBE | optimized geometry

For the energy above the most stable polymorph in this dataset, the calculation gives 0.32 eV/f.u. The value obtained for the total energy is -7.337 eV/atom. As for the formation energy: -252.5 meV per atom. As for the crystal system: tetragonal.

```
4
Lattice="3.023 0.000 0.000 0.000 3.023 0.000 0.000 0.000 5.906" Properties=species:S:1:pos:R:3 pbc="T T T"
Al 0.000 0.000 0.000
Al 1.512 1.512 1.634
Cr 0.000 0.000 2.962
Os 1.512 1.512 4.484
```

---

- formation energy of number 1 (AlCr2Os2)?
  150.8 meV per atom

---

- What is the formula in the first record?
  AlCr2Os2